No. 1
Computed, not measured: a relaxed Zr2InPb crystal at the GGA-PBEsol level of DFT.

Cell and atoms, written as CIF:
```
data_Zr2InPb
_cell_length_a 4.485
_cell_length_b 4.485
_cell_length_c 8.720
_cell_angle_alpha 90.00
_cell_angle_beta 90.00
_cell_angle_gamma 90.00
_space_group_name_H-M_alt 'P 1'
_space_group_IT_number 1
_space_group_name_Hall 'P 1'
loop_
_atom_site_label
_atom_site_type_symbol
_atom_site_fract_x
_atom_site_fract_y
_atom_site_fract_z
_atom_site_occupancy
Zr1 Zr 0.000 0.500 0.250 1
Zr2 Zr 0.000 0.500 0.750 1
Zr3 Zr 0.500 0.000 0.250 1
Zr4 Zr 0.500 0.000 0.750 1
In1 In 0.000 0.000 0.000 1
In2 In 0.500 0.500 0.500 1
Pb1 Pb 0.000 0.000 0.500 1
Pb2 Pb 0.500 0.500 0.000 1
```


No. 2
Computed, not measured: a relaxed ZrIn2Pb2 crystal at the GGA-PBEsol level of DFT.

Cell and atoms, written as CIF:
```
data_ZrIn2Pb2
_cell_length_a 4.237
_cell_length_b 4.237
_cell_length_c 15.285
_cell_angle_alpha 90.00
_cell_angle_beta 90.00
_cell_angle_gamma 90.00
_space_group_name_H-M_alt 'P 1'
_space_group_IT_number 1
_space_group_name_Hall 'P 1'
loop_
_atom_site_label
_atom_site_type_symbol
_atom_site_fract_x
_atom_site_fract_y
_atom_site_fract_z
_atom_site_occupancy
Zr1 Zr 0.000 0.000 0.000 1
Zr2 Zr 0.500 0.500 0.500 1
In1 In 0.000 0.000 0.411 1
In2 In 0.000 0.000 0.589 1
In3 In 0.500 0.500 0.089 1
In4 In 0.500 0.500 0.911 1
Pb1 Pb 0.000 0.500 0.250 1
Pb2 Pb 0.000 0.500 0.750 1
Pb3 Pb 0.500 0.000 0.250 1
Pb4 Pb 0.500 0.000 0.750 1
```


No. 3
Computed, not measured: a relaxed Zr2InPb crystal at the GGA-PBEsol level of DFT.

Cell and atoms, written as CIF:
```
data_Zr2InPb
_cell_length_a 3.776
_cell_length_b 3.776
_cell_length_c 6.219
_cell_angle_alpha 90.00
_cell_angle_beta 90.00
_cell_angle_gamma 90.00
_space_group_name_H-M_alt 'P 1'
_space_group_IT_number 1
_space_group_name_Hall 'P 1'
loop_
_atom_site_label
_atom_site_type_symbol
_atom_site_fract_x
_atom_site_fract_y
_atom_site_fract_z
_atom_site_occupancy
Zr1 Zr 0.000 0.000 0.249 1
Zr2 Zr 0.000 0.000 0.751 1
In1 In 0.500 0.500 0.500 1
Pb1 Pb 0.500 0.500 0.000 1
```


No. 4
Computed, not measured: a relaxed ZrIn2Pb crystal at the GGA-PBEsol level of DFT.

Cell and atoms, written as CIF:
```
data_ZrIn2Pb
_cell_length_a 3.458
_cell_length_b 4.426
_cell_length_c 6.160
_cell_angle_alpha 90.00
_cell_angle_beta 90.00
_cell_angle_gamma 90.00
_space_group_name_H-M_alt 'P 1'
_space_group_IT_number 1
_space_group_name_Hall 'P 1'
loop_
_atom_site_label
_atom_site_type_symbol
_atom_site_fract_x
_atom_site_fract_y
_atom_site_fract_z
_atom_site_occupancy
Zr1 Zr 0.000 0.000 0.000 1
In1 In 0.500 0.500 0.235 1
In2 In 0.500 0.500 0.765 1
Pb1 Pb 0.000 0.000 0.500 1
```


Number 1: formation energy -279 meV/atom, total energy -6.569 eV per atom. Number 2: formation energy 335 meV/atom, total energy -4.276 eV per atom. Number 3: formation energy -190 meV/atom, total energy -6.481 eV per atom. Number 4: formation energy -99 meV/atom, total energy -4.862 eV per atom.